(1)
CdSbTeI2 | GGA-PBE | optimized geometry

Results
The uncorrected formation energy is 0.71 eV per formula unit. Its density of states at the Fermi level is 0.849 states/eV per atom. The total moment is 0.000 Bohr magnetons per cell.

a = 6.0017 Å, b = 6.0017 Å, c = 5.8558 Å
α = 90.00°, β = 90.00°, γ = 90.00°
With the nearest neighbours (Å) after each atom.
Sites, in units of the cell vectors:
I: 0.0000 0.5000 0.0000  2 Sb 3.00
I: 0.5000 0.0000 0.0000  2 Sb 3.00
Sb: 0.0000 0.0000 0.0000  2 Te 2.93, 4 I 3.00
Te: 0.0000 0.0000 0.5000  2 Sb 2.93
Cd: 0.5000 0.5000 0.5000  8 I 4.19, 4 Te 4.24

=====

(2)
Ba2Mg2Tl | GGA-PBE | optimized geometry

Results
Its density of states at the Fermi level is 1.183 states/eV per atom. The total moment is 0.000 Bohr magnetons per cell. For the total energy, the calculation gives -20.44 eV per cell.

a = 5.3022 Å, b = 6.8332 Å, c = 11.8601 Å
α = 85.98°, β = 77.08°, γ = 67.17°
With the nearest neighbours (Å) after each atom.
Sites, in units of the cell vectors:
Ba: 0.6780 0.3036 0.3404  7 Mg 3.62-4.03, 4 Tl 3.71-3.85
Ba: 0.9132 0.2904 0.8832  6 Mg 3.67-3.97, 2 Tl 3.91
Ba: 0.3220 0.6964 0.6596  7 Mg 3.62-4.03, 4 Tl 3.71-3.85
Ba: 0.0868 0.7096 0.1168  6 Mg 3.67-3.97, 2 Tl 3.91
Mg: 0.0969 0.2542 0.5520  3 Tl 3.05-3.27, 1 Mg 3.34
Mg: 0.6159 0.8863 0.8819  1 Tl 3.00, 1 Mg 3.06
Mg: 0.9031 0.7458 0.4480  3 Tl 3.05-3.27, 1 Mg 3.34
Mg: 0.3841 0.1137 0.1181  1 Tl 3.00, 1 Mg 3.06
Tl: 0.6192 0.1075 0.6541  4 Mg 3.00-3.27
Tl: 0.3808 0.8925 0.3459  4 Mg 3.00-3.27

=====

(3)
LiCaTa | GGA-PBE | optimized geometry

Results
Its density of states at the Fermi level is 1.205 states/eV per atom. The total moment is 4.392 Bohr magnetons per cell. For the total energy, the calculation gives -24.11 eV per cell.

a = 5.3005 Å, b = 5.3005 Å, c = 6.0723 Å
α = 90.00°, β = 90.00°, γ = 120.00°
With the nearest neighbours (Å) after each atom.
Sites, in units of the cell vectors:
Ca: 0.3333 0.6667 0.7500  5 Ta 3.04-3.06
Ca: 0.6667 0.3333 0.2500  5 Ta 3.04-3.06
Li: 0.0000 0.0000 0.0000  2 Li 3.04
Li: 0.0000 0.0000 0.5000  2 Li 3.04
Ta: 0.3333 0.6667 0.2500  5 Ca 3.04-3.06
Ta: 0.6667 0.3333 0.7500  5 Ca 3.04-3.06